[1]
GeBAs2 | PBE-GGA | relaxed

Properties
Magnetic moment: 0.00 μB per formula unit
Calculated volume: 260 Å³ per cell
Relative energy among the computed polymorphs: 81.1 kJ per mole of atoms
Total DFT energy (no corrections): -65.474 eV per cell
Crystal system: cubic

a b c (Å): 6.3849 6.3849 6.3849
angles (deg): 90.00 90.00 90.00
Space group Fm-3m (No. 225)
Asymmetric unit:
Ge 0.0000 0.0000 0.0000 (multiplicity 4)
B 0.0000 0.0000 0.5000 (multiplicity 4)
As 0.2500 0.2500 0.2500 (multiplicity 8)

=====

[2]
GeBAs3 | PBE-GGA | relaxed

Properties
Magnetic moment: 0.00 μB per formula unit
Calculated volume: 120 Å³ per cell
Relative energy among the computed polymorphs: 83.2 kJ per mole of atoms
Total DFT energy (no corrections): -17.156 eV per cell
Crystal system: cubic

a b c (Å): 4.9262 4.9262 4.9262
angles (deg): 90.00 90.00 90.00
Space group Pm-3m (No. 221)
Asymmetric unit:
Ge 0.0000 0.0000 0.0000 (multiplicity 1)
B 0.5000 0.5000 0.5000 (multiplicity 1)
As 0.0000 0.0000 0.5000 (multiplicity 3)

=====

[3]
GeBAs3 | PBE-GGA | relaxed

Properties
Magnetic moment: 0.00 μB per formula unit
Calculated volume: 89 Å³ per cell
Relative energy among the computed polymorphs: 0.0 kJ per mole of atoms
Total DFT energy (no corrections): -21.466 eV per cell
Crystal system: cubic

a b c (Å): 4.4579 4.4579 4.4579
angles (deg): 90.00 90.00 90.00
Space group Pm-3m (No. 221)
Asymmetric unit:
Ge 0.0000 0.0000 0.0000 (multiplicity 1)
B 0.5000 0.5000 0.5000 (multiplicity 1)
As 0.0000 0.5000 0.5000 (multiplicity 3)

=====

[4]
Ge3BAs | PBE-GGA | relaxed

Properties
Magnetic moment: 0.00 μB per formula unit
Calculated volume: 124 Å³ per cell
Relative energy among the computed polymorphs: 96.3 kJ per mole of atoms
Total DFT energy (no corrections): -17.209 eV per cell
Crystal system: cubic

a b c (Å): 4.9883 4.9883 4.9883
angles (deg): 90.00 90.00 90.00
Space group Pm-3m (No. 221)
Asymmetric unit:
Ge 0.0000 0.0000 0.5000 (multiplicity 3)
B 0.5000 0.5000 0.5000 (multiplicity 1)
As 0.0000 0.0000 0.0000 (multiplicity 1)

=====

[5]
GeB2As | PBE-GGA | relaxed

Properties
Magnetic moment: 0.00 μB per formula unit
Calculated volume: 225 Å³ per cell
Relative energy among the computed polymorphs: 0.0 kJ per mole of atoms
Total DFT energy (no corrections): -85.912 eV per cell
Crystal system: tetragonal

a b c (Å): 4.8565 4.8565 9.5579
angles (deg): 90.00 90.00 90.00
Space group I-42d (No. 122)
Asymmetric unit:
Ge 0.0000 0.0000 0.0000 (multiplicity 4)
B 0.2448 0.2500 0.6250 (multiplicity 8)
As 0.0000 0.0000 0.5000 (multiplicity 4)

=====

[6]
GeBAs2 | PBE-GGA | relaxed

Properties
Magnetic moment: 0.00 μB per formula unit
Calculated volume: 300 Å³ per cell
Relative energy among the computed polymorphs: 0.0 kJ per mole of atoms
Total DFT energy (no corrections): -78.923 eV per cell
Crystal system: tetragonal

a b c (Å): 5.6064 5.6064 9.5533
angles (deg): 90.00 90.00 90.00
Space group I-42d (No. 122)
Asymmetric unit:
Ge 0.0000 0.0000 0.0000 (multiplicity 4)
B 0.0000 0.0000 0.5000 (multiplicity 4)
As 0.1808 0.2500 0.6250 (multiplicity 8)

=====

E_form, respectively: 101.9; 156.1; 72.9; 153.8; 27.6; 20.8 kJ/mol of atoms.
Ρ, respectively: 6.0; 4.3; 5.8; 4.1; 5.0; 5.2 g cm⁻³.